Entry 1:
Computed, not measured: a geometry-optimized LaCdRe2 structure at the PBE level of DFT.

abc: 2.8689 4.5520 6.5229
angles: 90.00 90.00 90.00
Atoms (fractional coordinates):
La (0.0000, 0.0000, 0.0000)
Cd (0.0000, 0.0000, 0.5000)
Re (0.5000, 0.5000, 0.3186)
Re (0.5000, 0.5000, 0.6814)

Results
**Space-group type**: Pmmm (47)
**Formation energy from the elements**: 0.689 eV per atom
**Total energy**: -28.0 eV/cell

***

Entry 2:
Computed, not measured: a geometry-optimized Sm2MgBi structure at the PBE level of DFT.

abc: 5.4969 5.4969 5.4969
angles: 60.00 60.00 60.00
Atoms (fractional coordinates):
Sm (0.2500, 0.2500, 0.2500)
Sm (0.7500, 0.7500, 0.7500)
Mg (0.0000, 0.0000, 0.0000)
Bi (0.5000, 0.5000, 0.5000)

Results
**Space-group type**: Fm-3m (225)
**Formation energy from the elements**: -0.348 eV per atom
**Total energy**: -16.3 eV/cell
**Energy relative to the lowest polymorph listed for this composition**: 0.1096 eV per atom

***

Entry 3:
Computed, not measured: a geometry-optimized La2CrCoAg structure at the PBE level of DFT.

abc: 5.2303 5.2303 4.8523
angles: 90.00 90.00 90.00
Atoms (fractional coordinates):
La (0.0000, 0.5000, 0.0000)
La (0.5000, 0.0000, 0.0000)
Cr (0.0000, 0.0000, 0.0000)
Co (0.5000, 0.5000, 0.5000)
Ag (0.0000, 0.0000, 0.5000)

Results
**Space-group type**: P4/mmm (123)
**Formation energy from the elements**: 0.910 eV per atom
**Total energy**: -24.9 eV/cell

***

Entry 4:
Computed, not measured: a geometry-optimized LaZrCd2 structure at the PBE level of DFT.

abc: 3.3299 3.3299 9.0256
angles: 90.00 90.00 90.00
Atoms (fractional coordinates):
La (0.0000, 0.0000, 0.0000)
Zr (0.0000, 0.0000, 0.5000)
Cd (0.5000, 0.5000, 0.2763)
Cd (0.5000, 0.5000, 0.7237)

Results
**Space-group type**: P4/mmm (123)
**Formation energy from the elements**: -0.168 eV per atom
**Total energy**: -16.0 eV/cell
**Energy relative to the lowest polymorph listed for this composition**: 0.0000 eV per atom

***

no.,ρ (Mg/m³)
1,12.16
2,7.55
3,6.21
4,7.55